[1]
This record from Alexandria describes a relaxed structure of RbTl2Cd2. The functional is PBEsol.

Unit cell a=4.913 b=4.913 c=7.236 alpha=109.84 beta=109.84 gamma=90.00
Positions (direct):
Tl  0.379  0.379  0.759
Tl  0.621  0.621  0.241
Rb  0.000  0.000  0.000
Cd  0.250  0.750  0.500
Cd  0.750  0.250  0.500

Results
Symmetry: I4/mmm
E_form in meV/atom: -26
Total moment in μB per atom: 0.0000
ΔE to the lowest computed polymorph in meV/atom: 0

---

[2]
This record from Alexandria describes a relaxed structure of Ca2MgCu4. The functional is PBEsol.

Unit cell a=7.257 b=7.257 c=7.257 alpha=92.54 beta=118.55 gamma=118.55
Positions (direct):
Ca  0.174  0.337  0.837
Ca  0.826  0.663  0.163
Ca  0.500  0.837  0.663
Ca  0.500  0.163  0.337
Cu  0.208  0.058  0.558
Cu  0.792  0.350  0.850
Cu  0.500  0.558  0.350
Cu  0.500  0.850  0.058
Cu  0.500  0.150  0.942
Cu  0.500  0.442  0.650
Cu  0.208  0.650  0.150
Cu  0.792  0.942  0.442
Mg  0.000  0.750  0.750
Mg  0.000  0.250  0.250

Results
Symmetry: I4/mcm
E_form in meV/atom: -32
Total moment in μB per atom: 0.0000